The following is a DFT calculation (PBE-GGA) of a relaxed IrRu4Se crystal.

Properties
space-group type = F-43m (216)

abc: 5.1038 5.1038 5.1038
angles: 60.00 60.00 60.00
Last column: nearest neighbours and their distance in Å.
Sites, in units of the cell vectors:
1 Ru 0.6258 0.6258 0.1227  6 Ru 2.54-2.57
2 Ru 0.6258 0.1227 0.6258  6 Ru 2.54-2.57
3 Ru 0.6258 0.6258 0.6258  6 Ru 2.54-2.57
4 Ru 0.1227 0.6258 0.6258  6 Ru 2.54-2.57
5 Se 0.2500 0.2500 0.2500  12 Ru 2.99, 4 Ir 3.13
6 Ir 0.0000 0.0000 0.0000  12 Ru 2.99, 4 Se 3.13

=====

The following is a DFT calculation (PBE-GGA) of a relaxed Ho2UTl2S6 crystal.

Properties
space-group type = C2/m (12)

abc: 6.9139 6.9139 7.9373
angles: 98.50 98.50 119.93
Last column: nearest neighbours and their distance in Å.
Sites, in units of the cell vectors:
1 Ho 0.6665 0.3335 0.5000  6 S 2.73-2.75
2 Ho 0.3335 0.6665 0.5000  6 S 2.73-2.75
3 Tl 0.1684 0.8316 0.0000  6 S 3.27-3.28
4 Tl 0.8316 0.1684 0.0000  6 S 3.27-3.28
5 S 0.7382 0.7382 0.6936  1 U 2.70, 2 Ho 2.75
6 S 0.2618 0.2618 0.3064  1 U 2.70, 2 Ho 2.75
7 S 0.3942 0.0637 0.6929  1 U 2.71, 2 Ho 2.73-2.75
8 S 0.0637 0.3942 0.6929  1 U 2.71, 2 Ho 2.73-2.75
9 S 0.6058 0.9363 0.3071  1 U 2.71, 2 Ho 2.73-2.75
10 S 0.9363 0.6058 0.3071  1 U 2.71, 2 Ho 2.73-2.75
11 U 0.0000 0.0000 0.5000  6 S 2.70-2.71

=====

Number 1: E_tot -7.35 eV/atom, formation energy without anion corrections 889 meV per atom. Number 2: E_tot -6.00 eV/atom, formation energy without anion corrections -1455 meV per atom.